BaFeSi4O10: relaxed, GGA+U.

a = 7.6301 Å, b = 7.6301 Å, c = 16.4367 Å
α = 90.00°, β = 90.00°, γ = 90.00°
Closest atoms and distances in Å follow each position.
Atoms (fractional coordinates):
Fe  0.5000  0.0000  0.0943  4 O 2.02
Fe  0.0000  0.5000  0.9057  4 O 2.02
Fe  0.5000  0.0000  0.5943  4 O 2.02
Fe  0.0000  0.5000  0.4057  4 O 2.02
O  0.7462  0.9696  0.3623  2 Si 1.65
O  0.7203  0.7203  0.2500  2 Si 1.63
O  0.7797  0.2203  0.2500  2 Si 1.63
O  0.2462  0.4696  0.6377  2 Si 1.65
O  0.7720  0.6357  0.4087  1 Si 1.60
O  0.7280  0.1357  0.0913  1 Si 1.60
O  0.2203  0.7797  0.2500  2 Si 1.63
O  0.7280  0.8643  0.5913  1 Si 1.60
O  0.7203  0.2797  0.7500  2 Si 1.63
O  0.7720  0.3643  0.9087  1 Si 1.60
O  0.7462  0.0304  0.8623  2 Si 1.65
O  0.6357  0.7720  0.0913  1 Si 1.60
O  0.7797  0.7797  0.7500  2 Si 1.63
O  0.9696  0.7462  0.1377  2 Si 1.65
O  0.6357  0.2280  0.5913  1 Si 1.60
O  0.2203  0.2203  0.7500  2 Si 1.63
O  0.0304  0.2538  0.1377  2 Si 1.65
O  0.3643  0.2280  0.0913  1 Si 1.60
O  0.2538  0.9696  0.8623  2 Si 1.65
O  0.2280  0.3643  0.4087  1 Si 1.60
O  0.0304  0.7462  0.6377  2 Si 1.65
O  0.5304  0.7538  0.8623  2 Si 1.65
O  0.2720  0.1357  0.5913  1 Si 1.60
O  0.8643  0.2720  0.4087  1 Si 1.60
O  0.2538  0.0304  0.3623  2 Si 1.65
O  0.7538  0.4696  0.1377  2 Si 1.65
O  0.5304  0.2462  0.3623  2 Si 1.65
O  0.4696  0.7538  0.3623  2 Si 1.65
O  0.2462  0.5304  0.1377  2 Si 1.65
O  0.7538  0.5304  0.6377  2 Si 1.65
O  0.8643  0.7280  0.9087  1 Si 1.60
O  0.2280  0.6357  0.9087  1 Si 1.60
O  0.1357  0.2720  0.9087  1 Si 1.60
O  0.2720  0.8643  0.0913  1 Si 1.60
O  0.9696  0.2538  0.6377  2 Si 1.65
O  0.3643  0.7720  0.5913  1 Si 1.60
O  0.2797  0.2797  0.2500  2 Si 1.63
O  0.1357  0.7280  0.4087  1 Si 1.60
O  0.4696  0.2462  0.8623  2 Si 1.65
O  0.2797  0.7203  0.7500  2 Si 1.63
Si  0.8176  0.7331  0.6551  4 O 1.60-1.65
Si  0.7331  0.8176  0.8449  4 O 1.60-1.65
Si  0.3176  0.7669  0.8449  4 O 1.60-1.65
Si  0.2331  0.3176  0.1551  4 O 1.60-1.65
Si  0.7669  0.3176  0.6551  4 O 1.60-1.65
Si  0.3176  0.2331  0.3449  4 O 1.60-1.65
Si  0.6824  0.2331  0.8449  4 O 1.60-1.65
Si  0.2669  0.8176  0.3449  4 O 1.60-1.65
Si  0.2331  0.6824  0.6551  4 O 1.60-1.65
Si  0.8176  0.2669  0.1551  4 O 1.60-1.65
Si  0.6824  0.7669  0.3449  4 O 1.60-1.65
Si  0.1824  0.7331  0.1551  4 O 1.60-1.65
Si  0.7669  0.6824  0.1551  4 O 1.60-1.65
Si  0.2669  0.1824  0.8449  4 O 1.60-1.65
Si  0.1824  0.2669  0.6551  4 O 1.60-1.65
Si  0.7331  0.1824  0.3449  4 O 1.60-1.65
Ba  0.5000  0.5000  0.5000  8 O 2.76-2.99
Ba  0.0000  0.0000  0.5000  8 O 2.76-2.99
Ba  0.0000  0.0000  0.0000  8 O 2.76-2.99
Ba  0.5000  0.5000  0.0000  8 O 2.76-2.99

Its space-group type is P4/ncc (130). The calculation puts the energy above the lowest structure with this stoichiometry at 0 meV per atom. As for the calculated volume: 14.95 Å³ per atom. The calculation puts the total energy at -7.624 eV/atom.